# PBE NaSr2Hg2, optimized geometry
# * final energy: -1.24 eV per atom
# * space-group type: I4/mmm, No. 139
# * spin magnetization: 0.00 μB per cell
# * D(E_F): 3.71 states/eV/f.u.
data_NaSr2Hg2
_chemical_formula_sum 'Na1 Sr2 Hg2'
_symmetry_space_group_name_H-M 'P 1'
_symmetry_Int_Tables_number 1
_cell_length_a 9.949
_cell_length_b 9.949
_cell_length_c 9.949
_cell_angle_alpha 153.61
_cell_angle_beta 153.61
_cell_angle_gamma 37.67
loop_
_symmetry_equiv_pos_as_xyz
'x,y,z'
loop_
_atom_site_label
_atom_site_type_symbol
_atom_site_fract_x
_atom_site_fract_y
_atom_site_fract_z
Na1 Na 0.000 0.000 0.000
Sr1 Sr 0.382 0.382 0.000
Sr2 Sr 0.618 0.618 0.000
Hg1 Hg 0.250 0.750 0.500
Hg2 Hg 0.750 0.250 0.500

***

# PBE Na12Sr16Hg, optimized geometry
# * final energy: -1.48 eV per atom
# * space-group type: Cm, No. 8
# * spin magnetization: 0.00 μB per cell
# * D(E_F): 20.31 states/eV/f.u.
data_Na12Sr16Hg
_chemical_formula_sum 'Na12 Sr16 Hg1'
_symmetry_space_group_name_H-M 'P 1'
_symmetry_Int_Tables_number 1
_cell_length_a 11.981
_cell_length_b 11.981
_cell_length_c 11.944
_cell_angle_alpha 109.01
_cell_angle_beta 109.01
_cell_angle_gamma 109.48
loop_
_symmetry_equiv_pos_as_xyz
'x,y,z'
loop_
_atom_site_label
_atom_site_type_symbol
_atom_site_fract_x
_atom_site_fract_y
_atom_site_fract_z
Na1 Na 0.000 0.000 0.000
Na2 Na 0.000 0.182 0.810
Na3 Na 0.159 0.533 0.997
Na4 Na 0.182 0.000 0.810
Na5 Na 0.184 0.184 0.366
Na6 Na 0.349 0.727 0.354
Na7 Na 0.357 0.548 0.527
Na8 Na 0.519 0.698 0.160
Na9 Na 0.533 0.159 0.997
Na10 Na 0.548 0.357 0.527
Na11 Na 0.698 0.519 0.160
Na12 Na 0.727 0.349 0.354
Sr1 Sr 0.004 0.778 0.199
Sr2 Sr 0.040 0.350 0.569
Sr3 Sr 0.076 0.683 0.499
Sr4 Sr 0.346 0.986 0.176
Sr5 Sr 0.350 0.040 0.569
Sr6 Sr 0.353 0.353 0.816
Sr7 Sr 0.358 0.358 0.180
Sr8 Sr 0.359 0.746 0.856
Sr9 Sr 0.648 0.965 0.784
Sr10 Sr 0.665 0.665 0.858
Sr11 Sr 0.683 0.076 0.499
Sr12 Sr 0.746 0.359 0.856
Sr13 Sr 0.771 0.771 0.520
Sr14 Sr 0.778 0.004 0.199
Sr15 Sr 0.965 0.648 0.784
Sr16 Sr 0.986 0.346 0.176
Hg1 Hg 0.035 0.035 0.515

***

# PBE NaSr7Hg2, optimized geometry
# * final energy: -1.52 eV per atom
# * space-group type: I4/mmm, No. 139
# * spin magnetization: 0.00 μB per cell
# * D(E_F): 13.81 states/eV/f.u.
data_NaSr7Hg2
_chemical_formula_sum 'Na1 Sr7 Hg2'
_symmetry_space_group_name_H-M 'P 1'
_symmetry_Int_Tables_number 1
_cell_length_a 14.722
_cell_length_b 14.722
_cell_length_c 14.722
_cell_angle_alpha 157.83
_cell_angle_beta 157.83
_cell_angle_gamma 31.56
loop_
_symmetry_equiv_pos_as_xyz
'x,y,z'
loop_
_atom_site_label
_atom_site_type_symbol
_atom_site_fract_x
_atom_site_fract_y
_atom_site_fract_z
Na1 Na 0.000 0.000 0.000
Sr1 Sr 0.112 0.612 0.500
Sr2 Sr 0.250 0.750 0.500
Sr3 Sr 0.388 0.888 0.500
Sr4 Sr 0.500 0.500 0.000
Sr5 Sr 0.612 0.112 0.500
Sr6 Sr 0.750 0.250 0.500
Sr7 Sr 0.888 0.388 0.500
Hg1 Hg 0.322 0.322 0.000
Hg2 Hg 0.678 0.678 0.000

***

# PBE Na4Sr5Hg2, optimized geometry
# * final energy: -1.48 eV per atom
# * space-group type: Pbam, No. 55
# * spin magnetization: 0.00 μB per cell
# * D(E_F): 7.66 states/eV/f.u.
data_Na4Sr5Hg2
_chemical_formula_sum 'Na8 Sr10 Hg4'
_symmetry_space_group_name_H-M 'P 1'
_symmetry_Int_Tables_number 1
_cell_length_a 9.668
_cell_length_b 21.352
_cell_length_c 4.283
_cell_angle_alpha 90.00
_cell_angle_beta 90.00
_cell_angle_gamma 90.00
loop_
_symmetry_equiv_pos_as_xyz
'x,y,z'
loop_
_atom_site_label
_atom_site_type_symbol
_atom_site_fract_x
_atom_site_fract_y
_atom_site_fract_z
Na1 Na 0.071 0.152 0.000
Na2 Na 0.203 0.434 0.000
Na3 Na 0.297 0.934 0.000
Na4 Na 0.429 0.652 0.000
Na5 Na 0.571 0.348 0.000
Na6 Na 0.703 0.066 0.000
Na7 Na 0.797 0.566 0.000
Na8 Na 0.929 0.848 0.000
Sr1 Sr 0.000 0.000 0.500
Sr2 Sr 0.116 0.590 0.500
Sr3 Sr 0.248 0.781 0.500
Sr4 Sr 0.252 0.281 0.500
Sr5 Sr 0.384 0.090 0.500
Sr6 Sr 0.500 0.500 0.500
Sr7 Sr 0.616 0.910 0.500
Sr8 Sr 0.748 0.719 0.500
Sr9 Sr 0.752 0.219 0.500
Sr10 Sr 0.884 0.410 0.500
Hg1 Hg 0.027 0.702 0.000
Hg2 Hg 0.473 0.202 0.000
Hg3 Hg 0.527 0.798 0.000
Hg4 Hg 0.973 0.298 0.000